(a)
The following is a DFT calculation (PBE) of POsAuO after structural relaxation.

Summary:
For the total magnetization, the calculation gives 0.0 Bohr magnetons per cell. As for the space group: P4/nmm, No. 129.

Unit cell a=4.0810 b=4.0810 c=7.1801 alpha=90.00 beta=90.00 gamma=90.00
Atoms (fractional coordinates):
Au (0.0000, 0.5000, 0.1132)
Au (0.5000, 0.0000, 0.8868)
Os (0.0000, 0.0000, 0.5000)
Os (0.5000, 0.5000, 0.5000)
P (0.5000, 0.0000, 0.3435)
P (0.0000, 0.5000, 0.6565)
O (0.5000, 0.5000, 0.0000)
O (0.0000, 0.0000, 0.0000)

(b)
The following is a DFT calculation (PBE) of POsAuO after structural relaxation.

Summary:
For the total magnetization, the calculation gives 0.0 Bohr magnetons per cell. As for the space group: Pmc2_1, No. 26.

Unit cell a=3.0229 b=6.0079 c=7.3164 alpha=90.00 beta=90.00 gamma=90.00
Atoms (fractional coordinates):
O (0.5000, 0.4325, 0.2458)
O (0.5000, 0.5675, 0.7458)
P (0.0000, 0.7890, 0.4134)
P (0.0000, 0.2110, 0.9134)
Os (0.5000, 0.4877, 0.9917)
Os (0.5000, 0.5123, 0.4917)
Au (0.0000, 0.8926, 0.1031)
Au (0.0000, 0.1074, 0.6031)

(c)
The following is a DFT calculation (PBE) of POsAuO after structural relaxation.

Summary:
For the total magnetization, the calculation gives 0.0 Bohr magnetons per cell. As for the space group: P4/nmm, No. 129.

Unit cell a=3.5743 b=3.5743 c=8.9908 alpha=90.00 beta=90.00 gamma=90.00
Atoms (fractional coordinates):
P (0.0000, 0.5000, 0.7487)
P (0.5000, 0.0000, 0.2513)
Au (0.5000, 0.5000, 0.5000)
Au (0.0000, 0.0000, 0.5000)
Os (0.0000, 0.5000, 0.1407)
Os (0.5000, 0.0000, 0.8593)
O (0.0000, 0.0000, 0.0000)
O (0.5000, 0.5000, 0.0000)

(d)
The following is a DFT calculation (PBE) of POsAuO after structural relaxation.

Summary:
For the total magnetization, the calculation gives 0.0 Bohr magnetons per cell. As for the space group: Pmc2_1, No. 26.

Unit cell a=3.7624 b=6.2543 c=5.5068 alpha=90.00 beta=90.00 gamma=90.00
Atoms (fractional coordinates):
O (0.5000, 0.8847, 0.9606)
O (0.5000, 0.1153, 0.4606)
Au (0.5000, 0.4685, 0.9413)
Au (0.5000, 0.5315, 0.4413)
Os (0.0000, 0.8828, 0.9782)
Os (0.0000, 0.1172, 0.4782)
P (0.0000, 0.2440, 0.8738)
P (0.0000, 0.7560, 0.3738)

What should be chosen as the least stable of them? Choose (c).

(a)
The following is a DFT calculation (PBE) of TeOsAuO after structural relaxation.

Summary:
For the total magnetization, the calculation gives 0.0 Bohr magnetons per cell. As for the space group: Pmc2_1, No. 26.

Unit cell a=3.0234 b=8.3329 c=5.9298 alpha=90.00 beta=90.00 gamma=90.00
Atoms (fractional coordinates):
Os (0.5000, 0.8659, 0.9066)
Os (0.5000, 0.1341, 0.4066)
Au (0.0000, 0.6142, 0.7329)
Au (0.0000, 0.3858, 0.2329)
Te (0.0000, 0.2885, 0.7303)
Te (0.0000, 0.7115, 0.2303)
O (0.5000, 0.9644, 0.6213)
O (0.5000, 0.0356, 0.1213)

(b)
The following is a DFT calculation (PBE) of TeOsAuO after structural relaxation.

Summary:
For the total magnetization, the calculation gives 0.0 Bohr magnetons per cell. As for the space group: P4/nmm, No. 129.

Unit cell a=3.5971 b=3.5971 c=11.1927 alpha=90.00 beta=90.00 gamma=90.00
Atoms (fractional coordinates):
Au (0.7500, 0.2500, 0.5000)
Au (0.2500, 0.7500, 0.5000)
Te (0.2500, 0.2500, 0.7656)
Te (0.7500, 0.7500, 0.2344)
Os (0.2500, 0.2500, 0.1131)
Os (0.7500, 0.7500, 0.8869)
O (0.2500, 0.7500, 0.0000)
O (0.7500, 0.2500, 0.0000)

What should be chosen as the least stable of them? Choose (b).

(a)
The following is a DFT calculation (PBE) of PaPAuO after structural relaxation.

Summary:
For the total magnetization, the calculation gives 2.0 Bohr magnetons per cell. As for the space group: Pmc2_1, No. 26.

Unit cell a=4.1783 b=5.7143 c=7.1352 alpha=90.00 beta=90.00 gamma=90.00
Each line ends with the local moment (μB).
Atoms (fractional coordinates):
O (0.5000, 0.3050, 0.3654)  -0.02
O (0.5000, 0.6950, 0.8654)  -0.02
Au (0.0000, 0.9922, 0.5343)  0.00
Au (0.0000, 0.0078, 0.0343)  0.00
Pa (0.5000, 0.5725, 0.5789)  0.99
Pa (0.5000, 0.4275, 0.0789)  0.99
P (0.0000, 0.7222, 0.2754)  -0.03
P (0.0000, 0.2778, 0.7754)  -0.03

(b)
The following is a DFT calculation (PBE) of PaPAuO after structural relaxation.

Summary:
For the total magnetization, the calculation gives 2.0 Bohr magnetons per cell. As for the space group: Pmc2_1, No. 26.

Unit cell a=4.3474 b=6.2161 c=6.0198 alpha=90.00 beta=90.00 gamma=90.00
Each line ends with the local moment (μB).
Atoms (fractional coordinates):
P (0.0000, 0.7452, 0.9191)  -0.03
P (0.0000, 0.2548, 0.4191)  -0.03
O (0.5000, 0.6787, 0.4396)  -0.03
O (0.5000, 0.3213, 0.9396)  -0.03
Au (0.5000, 0.8641, 0.9759)  -0.01
Au (0.5000, 0.1359, 0.4759)  -0.01
Pa (0.0000, 0.2691, 0.9193)  0.98
Pa (0.0000, 0.7309, 0.4193)  1.01

(c)
The following is a DFT calculation (PBE) of PaPAuO after structural relaxation.

Summary:
For the total magnetization, the calculation gives 1.2 Bohr magnetons per cell. As for the space group: P4/nmm, No. 129.

Unit cell a=5.8133 b=5.8133 c=4.5074 alpha=90.00 beta=90.00 gamma=90.00
Each line ends with the local moment (μB).
Atoms (fractional coordinates):
O (0.5000, 0.5000, 0.0000)  -0.02
O (0.0000, 0.0000, 0.0000)  -0.02
P (0.5000, 0.0000, 0.4911)  -0.03
P (0.0000, 0.5000, 0.5089)  -0.03
Pa (0.0000, 0.0000, 0.5000)  0.53
Pa (0.5000, 0.5000, 0.5000)  0.53
Au (0.5000, 0.0000, 0.9905)  0.00
Au (0.0000, 0.5000, 0.0095)  0.00

What should be chosen as the least stable of them? Choose (c).